UMnRhO6 | GGA+U | optimized geometry

Unit cell a=5.2430 b=5.2430 c=9.3420 alpha=90.00 beta=90.00 gamma=120.00
Element x y z (fractional)
U (0.6667, 0.3333, 0.2500)
U (0.3333, 0.6667, 0.7500)
O (0.3429, 0.0087, 0.6293)
O (0.6658, 0.0087, 0.8707)
O (0.9913, 0.3342, 0.6293)
O (0.3342, 0.9913, 0.1293)
O (0.6658, 0.6571, 0.6293)
O (0.6571, 0.9913, 0.3707)
O (0.3342, 0.3429, 0.3707)
O (0.0087, 0.3429, 0.1293)
O (0.3429, 0.3342, 0.8707)
O (0.9913, 0.6571, 0.8707)
O (0.6571, 0.6658, 0.1293)
O (0.0087, 0.6658, 0.3707)
Mn (0.0000, 0.0000, 0.5000)
Mn (0.0000, 0.0000, 0.0000)
Rh (0.6667, 0.3333, 0.7500)
Rh (0.3333, 0.6667, 0.2500)

Calculated values
Total energy: -147.42 eV per cell
Volume: 12.4 A^3/atom
Symmetry: No. 163